{
  "formula": "SrMn2O3",
  "functional": "GGA+U",
  "state": "optimized geometry",
  "volume_a3_per_atom": 16.31,
  "final_energy_ev_per_cell": -85.1,
  "lattice": [[-1.309, -2.957, 2.221], [2.267, -2.918, -2.548], [8.845, 1.073, 6.641]],
  "species": ["Mn", "Mn", "Mn", "Mn", "Sr", "Sr", "O", "O", "O", "O", "O", "O"],
  "frac_coords": [[0.931, 0.000, 0.661], [0.069, 0.500, 0.161], [0.069, 0.500, 0.839], [0.931, 0.000, 0.339], [0.472, 0.500, 0.500], [0.528, 0.000, 0.000], [0.014, 0.500, 0.658], [0.321, 0.500, 0.000], [0.679, 0.000, 0.500], [0.014, 0.500, 0.342], [0.986, 0.000, 0.158], [0.986, 0.000, 0.842]]
}